Entry 1:
# LaAgSe3 | Alexandria via LeMat-Bulk | PBE | optimized geometry
data_LaAgSe3
_cell_length_a 5.063
_cell_length_b 5.063
_cell_length_c 5.063
_cell_angle_alpha 90.00
_cell_angle_beta 90.00
_cell_angle_gamma 90.00
_space_group_name_H-M_alt 'P m -3 m'
_space_group_IT_number 221
_space_group_name_Hall '-P 4 2 3'
loop_
_atom_site_label
_atom_site_fract_x
_atom_site_fract_y
_atom_site_fract_z
La1 0.000 0.000 0.000
Ag1 0.500 0.500 0.500
Se1 0.000 0.500 0.500
# polymorph energy (0 for the lowest one) = 0.000 eV per atom
# formation energy from raw total energies = -631.2 meV/atom
# final energy = -21.39 eV/f.u.



Entry 2:
# LaAg2Se | Alexandria via LeMat-Bulk | PBE | optimized geometry
data_LaAg2Se
_cell_length_a 4.144
_cell_length_b 4.144
_cell_length_c 11.834
_cell_angle_alpha 90.00
_cell_angle_beta 90.00
_cell_angle_gamma 90.00
_space_group_name_H-M_alt 'I 4/m m m'
_space_group_IT_number 139
_space_group_name_Hall '-I 4 2'
loop_
_atom_site_label
_atom_site_fract_x
_atom_site_fract_y
_atom_site_fract_z
La1 0.000 0.000 0.000
Ag1 0.000 0.500 0.250
Se1 0.000 0.000 0.500
# formation energy from raw total energies = -625.6 meV/atom
# final energy = -16.62 eV/f.u.



Entry 3:
# La2AgSe | Alexandria via LeMat-Bulk | PBE | optimized geometry
data_La2AgSe
_cell_length_a 4.360
_cell_length_b 4.360
_cell_length_c 11.686
_cell_angle_alpha 90.00
_cell_angle_beta 90.00
_cell_angle_gamma 90.00
_space_group_name_H-M_alt 'I -4 m 2'
_space_group_IT_number 119
_space_group_name_Hall 'I -4 -2'
loop_
_atom_site_label
_atom_site_fract_x
_atom_site_fract_y
_atom_site_fract_z
La1 0.000 0.000 0.000
La2 0.000 0.500 0.250
Ag1 0.000 0.000 0.500
Se1 0.000 0.500 0.750
# formation energy from raw total energies = -768.7 meV/atom
# final energy = -19.27 eV/f.u.



Entry 4:
# La2AgSe | Alexandria via LeMat-Bulk | PBE | optimized geometry
data_La2AgSe
_cell_length_a 3.904
_cell_length_b 3.981
_cell_length_c 15.570
_cell_angle_alpha 90.00
_cell_angle_beta 90.00
_cell_angle_gamma 90.00
_space_group_name_H-M_alt 'I m m 2'
_space_group_IT_number 44
_space_group_name_Hall 'I 2 -2'
loop_
_atom_site_label
_atom_site_fract_x
_atom_site_fract_y
_atom_site_fract_z
La1 0.000 0.000 0.000
La2 0.000 0.500 0.238
Ag1 0.000 0.500 0.836
Se1 0.000 0.000 0.582
# formation energy from raw total energies = -882.6 meV/atom
# final energy = -19.72 eV/f.u.



Entry 5:
# La2AgSe | Alexandria via LeMat-Bulk | PBE | optimized geometry
data_La2AgSe
_cell_length_a 4.1412
_cell_length_b 4.1412
_cell_length_c 25.4982
_cell_angle_alpha 90.00
_cell_angle_beta 90.00
_cell_angle_gamma 120.00
_space_group_name_H-M_alt 'R 3 m'
_space_group_IT_number 160
_space_group_name_Hall 'R 3 -2"'
loop_
_atom_site_label
_atom_site_fract_x
_atom_site_fract_y
_atom_site_fract_z
La1 0.0000 0.0000 0.0000
La2 0.0000 0.0000 0.2122
Ag1 0.0000 0.0000 0.4639
Se1 0.0000 0.0000 0.7379
# formation energy from raw total energies = -511.5 meV/atom
# final energy = -18.24 eV/f.u.



Entry 6:
# LaAgSe2 | Alexandria via LeMat-Bulk | PBE | optimized geometry
data_LaAgSe2
_cell_length_a 4.2181
_cell_length_b 4.2181
_cell_length_c 20.6057
_cell_angle_alpha 90.00
_cell_angle_beta 90.00
_cell_angle_gamma 120.00
_space_group_name_H-M_alt 'R 3 m'
_space_group_IT_number 160
_space_group_name_Hall 'R 3 -2"'
loop_
_atom_site_label
_atom_site_fract_x
_atom_site_fract_y
_atom_site_fract_z
La1 0.0000 0.0000 0.0000
Ag1 0.0000 0.0000 0.1729
Se1 0.0000 0.0000 0.5779
Se2 0.0000 0.0000 0.7545
# formation energy from raw total energies = -1152.3 meV/atom
# final energy = -19.36 eV/f.u.



Entry 7:
# LaAgSe2 | Alexandria via LeMat-Bulk | PBE | optimized geometry
data_LaAgSe2
_cell_length_a 7.229
_cell_length_b 7.229
_cell_length_c 7.229
_cell_angle_alpha 90.00
_cell_angle_beta 90.00
_cell_angle_gamma 90.00
_space_group_name_H-M_alt 'F m -3 m'
_space_group_IT_number 225
_space_group_name_Hall '-F 4 2 3'
loop_
_atom_site_label
_atom_site_fract_x
_atom_site_fract_y
_atom_site_fract_z
La1 0.000 0.000 0.000
Ag1 0.000 0.000 0.500
Se1 0.250 0.250 0.250
# formation energy from raw total energies = -1161.7 meV/atom
# final energy = -19.39 eV/f.u.



Entry 8:
# LaAgSe2 | Alexandria via LeMat-Bulk | PBE | optimized geometry
data_LaAgSe2
_cell_length_a 4.597
_cell_length_b 5.998
_cell_length_c 7.321
_cell_angle_alpha 90.00
_cell_angle_beta 90.00
_cell_angle_gamma 90.00
_space_group_name_H-M_alt 'C m m m'
_space_group_IT_number 65
_space_group_name_Hall '-C 2 2'
loop_
_atom_site_label
_atom_site_fract_x
_atom_site_fract_y
_atom_site_fract_z
La1 0.000 0.000 0.000
Ag1 0.000 0.000 0.500
Se1 0.000 0.500 0.252
# formation energy from raw total energies = -1005.5 meV/atom
# final energy = -18.77 eV/f.u.